Record 1
4
Lattice="5.0349 0.0000 0.0000 2.5175 4.3604 0.0000 2.5175 1.4535 4.1110" Properties=species:S:1:pos:R:3 comment="PmAlInAg (PBE, relaxed)" dos_ef_per_ev_fu=1.8 crystal_system=cubic ef_mev_per_atom=-250 pbc="T T T"
Ag 7.5524 4.3604 3.0832
In 0.0000 0.0000 0.0000
Al 2.5175 1.4535 1.0277
Pm 5.0349 2.9069 2.0555



Record 2
16
Lattice="-8.5461 2.3215 0.8910 -2.4376 -8.1712 -2.5511 5.7646 1.1138 6.8349" Properties=species:S:1:pos:R:3 comment="Na2Te4AsPb (PBE, relaxed)" dos_ef_per_ev_fu=3.2 crystal_system=orthorhombic formation_energy_uncorrected_kj_per_mol_fu=-294 pbc="T T T"
Na -5.4918 -2.9248 -0.8300
As -2.7814 3.4352 7.7259
Te -2.5982 -1.4124 -0.2195
Te -2.6208 -3.3236 5.3943
Te -1.2046 -4.8453 1.8062
Te -0.0340 -0.9166 2.8197
Na -4.2731 1.1607 0.4455
Na -1.3907 1.7176 3.8629
Te -3.8915 -5.7381 -1.7215
Na 2.8823 0.5569 3.4174
Te -5.1850 -3.8194 2.3551
Te -1.3277 1.0022 6.8963
As -2.6095 -2.3680 2.5874
Pb -1.2188 -4.0856 -1.2755
Pb -6.8826 -1.2072 3.0329
Te -4.0144 0.1095 3.3687



Record 3
4
Lattice="-2.8510 -3.5779 -1.8700 0.0656 -4.5154 2.0083 -3.9099 -1.6290 2.5467" Properties=species:S:1:pos:R:3 comment="SmThCoOs (PBE, relaxed)" dos_ef_per_ev_fu=1.1 crystal_system=cubic ef_mev_per_atom=-110 pbc="T T T"
Sm -3.3476 -4.8612 1.3425
Co -5.0214 -7.2917 2.0137
Os -1.6738 -2.4306 0.6712
Th 0.0000 0.0000 0.0000



Record 4
8
Lattice="-4.2929 -5.7890 3.0810 2.5467 -4.8651 -5.5928 1.3643 -6.0905 0.4270" Properties=species:S:1:pos:R:3 comment="Zr2ScRh (PBE, relaxed)" dos_ef_per_ev_fu=3.5 crystal_system=tetragonal ef_mev_per_atom=-155 pbc="T T T"
Rh 0.0000 0.0000 0.0000
Zr -0.3639 -14.1592 -2.1867
Sc -0.8731 -5.3271 -1.2559
Zr 1.6335 -4.9669 -3.1739
Zr 0.2276 -8.2943 -0.3125
Rh -1.9008 -8.6033 1.1261
Sc 1.5190 -8.1413 -3.2108
Zr -2.2609 -6.0689 1.5036